DFT (PBE) results for a relaxed structure of Pu2Cu4Ge3Au.

Cell and atoms, written as extended XYZ:
```
10
Lattice="4.1896 0.0000 0.0000 0.0000 4.1896 0.0000 0.0000 0.0000 10.1622" Properties=species:S:1:pos:R:3 pbc="T T T"
Pu 2.0948 0.0000 2.4772
Pu 0.0000 2.0948 7.6850
Cu 2.0948 2.0948 0.0000
Cu 0.0000 0.0000 0.0000
Cu 2.0948 0.0000 6.5152
Cu 0.0000 2.0948 3.6470
Ge 0.0000 0.0000 5.0811
Ge 2.0948 0.0000 8.8497
Ge 0.0000 2.0948 1.3126
Au 2.0948 2.0948 5.0811
```

Output
calculated formation energy	-0.254	eV/atom
theoretical density	10.77	g/cm3
space group	No. 115